BaSrCa2In2 | PBE | relaxed

Energy of formation from the pure elements (meV/atom): -291

abc: 5.7311 5.7311 7.7363
angles: 90.00 90.00 120.00
Space group P-3m1 (No. 164)
Symmetry-distinct sites (fractional):
Ba1 0.0000 0.0000 0.0000 [1 per cell]
Sr1 0.0000 0.0000 0.5000 [1 per cell]
Ca1 0.3333 0.6667 0.2639 [2 per cell]
In1 0.3333 0.6667 0.7441 [2 per cell]


ScAgTe2 | PBE | relaxed

E_tot (eV per atom): -4.50

abc: 3.881 4.076 14.246
angles: 90.00 90.00 90.00
Space group Imm2 (No. 44)
Symmetry-distinct sites (fractional):
Sc1 0.000 0.000 0.000 [2 per cell]
Ag1 0.000 0.500 0.178 [2 per cell]
Te1 0.000 0.000 0.421 [2 per cell]
Te2 0.000 0.500 0.660 [2 per cell]


CuAs2Cl | PBE | relaxed

Energy above the lowest structure with this stoichiometry (meV/atom): 702.9

abc: 6.556 6.556 6.556
angles: 90.00 90.00 90.00
Space group Fm-3m (No. 225)
Symmetry-distinct sites (fractional):
Cu1 0.000 0.000 0.000 [4 per cell]
As1 0.250 0.250 0.250 [8 per cell]
Cl1 0.000 0.000 0.500 [4 per cell]


NaICl | PBE | relaxed

Energy above the lowest structure with this stoichiometry (meV/atom): 173.2

abc: 5.965 5.304 6.892
angles: 90.00 114.86 90.00
Space group P2_1/m (No. 11)
Symmetry-distinct sites (fractional):
Na1 0.049 0.250 0.232 [2 per cell]
I1 0.278 0.250 0.752 [2 per cell]
Cl1 0.216 0.750 0.224 [2 per cell]


VAgPb | PBE | relaxed

Energy of formation from the pure elements (meV/atom): 565

abc: 3.092 3.096 7.484
angles: 78.46 78.29 60.12
Space group P1 (No. 1)
Symmetry-distinct sites (fractional):
V1 0.000 0.000 0.000 [1 per cell]
Ag1 0.431 0.428 0.704 [1 per cell]
Pb1 0.224 0.230 0.329 [1 per cell]


Ga2SnPb | PBE | relaxed

Energy of formation from the pure elements (meV/atom): 68
Energy above the lowest structure with this stoichiometry (meV/atom): 20.6

abc: 7.320 7.320 7.320
angles: 90.00 90.00 90.00
Space group Fm-3m (No. 225)
Symmetry-distinct sites (fractional):
Ga1 0.250 0.250 0.250 [8 per cell]
Sn1 0.000 0.000 0.000 [4 per cell]
Pb1 0.000 0.000 0.500 [4 per cell]